Material: CsGdPO
Method: DFT, GGA-PBE
State: optimized geometry

Results
Energy in eV per formula unit: -21.6
ρ in g/cm3: 4.55
Crystal system: orthorhombic

a = 3.559 Å, b = 8.079 Å, c = 8.555 Å
α = 90.00°, β = 90.00°, γ = 90.00°
Space group Pmc2_1 (No. 26)
Symmetry-distinct sites (fractional):
Cs: 0.000 0.128 0.000 x2
Gd: 0.500 0.337 0.403 x2
P: 0.500 0.375 0.725 x2
O: 0.000 0.202 0.346 x2